No. 1
A plane-wave DFT calculation with PBE was carried out for TlCoIr2 after structural relaxation.

Computed properties:
- DFT total energy (eV per atom) = -6.338
- space-group type = Pmmm, No. 47

Lattice parameters (Å, degrees): 2.8766 3.6032 6.1030 90.00 90.00 90.00
Each line ends with the local moment (μB).
Fractional positions:
Co: 0.5000 0.5000 0.7500  1.88
Ir: 0.0000 0.0000 0.5352  0.44
Ir: 0.0000 0.0000 0.9648  0.44
Tl: 0.5000 0.5000 0.2500  -0.01


No. 2
A plane-wave DFT calculation with PBE was carried out for TlCo2Ir after structural relaxation.

Computed properties:
- DFT total energy (eV per atom) = -5.868
- space-group type = P4/mmm, No. 123

Lattice parameters (Å, degrees): 3.9259 3.9279 3.8304 90.00 90.00 90.00
Each line ends with the local moment (μB).
Fractional positions:
Co: 0.0000 0.0000 0.0000  1.66
Co: 0.5000 0.5000 0.0000  1.66
Ir: 0.5000 0.0000 0.5000  0.39
Tl: 0.0000 0.5000 0.5000  -0.04


No. 3
A plane-wave DFT calculation with PBE was carried out for TlCo2Ir after structural relaxation.

Computed properties:
- DFT total energy (eV per atom) = -5.863
- space-group type = P4/mmm, No. 123

Lattice parameters (Å, degrees): 4.4552 4.4552 2.9366 90.00 90.00 90.00
Each line ends with the local moment (μB).
Fractional positions:
Tl: 0.0000 0.5000 0.5000  -0.05
Co: 0.0000 0.0000 0.0000  1.40
Co: 0.5000 0.5000 0.0000  1.40
Ir: 0.5000 0.0000 0.5000  0.50